Density functional theory data (PBE) for an optimized crystal structure of KHgOs2.

Lattice parameters (Å, degrees): 10.767 10.767 10.767 15.13 15.13 15.13
Atoms (fractional coordinates):
K (0.000, 0.000, 0.000)
Hg (0.500, 0.500, 0.500)
Os (0.242, 0.242, 0.242)
Os (0.758, 0.758, 0.758)

* E_form: 1176 meV per atom
* V: 74.1 Å³ per cell
* calculated density: 13.89 g cm⁻³
* total magnetization: 0.1160 μB/atom